1.
DFT (PBE) results for InGe2IrPt after structural relaxation.

Computed properties:
The value obtained for the formation energy from the elements is 0.303 eV per atom.

Lattice parameters (Å, degrees): 4.6537 5.3444 4.6537 90.00 90.00 90.00
Atoms (fractional coordinates):
Ge1 0.0000 0.0000 0.5000
Ge2 0.5000 0.0000 0.0000
Ir1 0.0000 0.0000 0.0000
Pt1 0.0000 0.5000 0.0000
In1 0.5000 0.5000 0.5000

---

2.
DFT (PBE) results for YZrBe2 after structural relaxation.

Computed properties:
The value obtained for the formation energy from the elements is 0.020 eV per atom. Its energy above the most stable polymorph in this dataset is 0.08 eV/f.u.

Lattice parameters (Å, degrees): 6.1284 6.1284 6.1284 36.95 36.95 36.95
Atoms (fractional coordinates):
Y1 0.5210 0.5210 0.5210
Be1 0.9631 0.9631 0.9631
Be2 0.3040 0.3040 0.3040
Zr1 0.7119 0.7119 0.7119

---

3.
DFT (PBE) results for Re2AgSb after structural relaxation.

Computed properties:
As for the uncorrected formation energy: 85 kJ/mol of atoms.

Lattice parameters (Å, degrees): 3.1264 4.6396 4.7773 90.00 90.00 90.00
Atoms (fractional coordinates):
Re1 0.0000 0.0000 0.0000
Re2 0.5000 0.5000 0.0000
Ag1 0.0000 0.5000 0.5000
Sb1 0.5000 0.0000 0.5000

---

4.
DFT (PBE) results for SrH16O10 after structural relaxation.

Computed properties:
Its energy above the most stable polymorph in this dataset is 0.48 eV/f.u.

Lattice parameters (Å, degrees): 6.3664 6.2615 11.9055 98.23 79.29 90.52
Each line ends with the local moment (μB).
Atoms (fractional coordinates):
Sr1 0.9347 0.9365 0.5026  0.00
Sr2 0.1103 0.0450 0.0197  0.00
H1 0.0211 0.6939 0.7189  0.00
H2 0.1810 0.5808 0.6056  0.00
H3 0.8612 0.4350 0.6192  0.00
H4 0.6281 0.3666 0.5923  0.00
H5 0.5234 0.8514 0.7178  0.00
H6 0.5064 0.6924 0.6018  0.00
H7 0.3423 0.0110 0.6272  0.00
H8 0.2966 0.2482 0.6019  0.00
H9 0.0098 0.6455 0.1412  0.00
H10 0.7797 0.7002 0.1168  0.00
H11 0.1725 0.4690 0.2204  0.00
H12 0.3407 0.4863 0.1058  0.00
H13 0.4572 0.8153 0.1204  0.00
H14 0.3434 0.9895 0.2285  0.00
H15 0.6100 0.1207 0.1243  0.00
H16 0.6871 0.3526 0.0987  0.00
H17 0.8202 0.1964 0.2754  0.00
H18 0.6803 0.2992 0.3921  0.00
H19 0.2385 0.5053 0.3967  0.00
H20 0.0016 0.4384 0.3754  0.00
H21 0.3590 0.1807 0.3971  0.00
H22 0.4291 0.9329 0.3790  0.00
H23 0.7372 0.7535 0.2970  0.00
H24 0.5818 0.6269 0.3920  0.00
H25 0.1625 0.2114 0.7783  0.00
H26 0.9344 0.2573 0.8518  0.00
H27 0.8447 0.6802 0.9082  0.00
H28 0.0734 0.5739 0.8723  0.00
H29 0.7033 0.2642 0.7527  0.00
H30 0.6401 0.3927 0.8856  0.00
H31 0.5124 0.8024 0.9060  0.00
H32 0.5477 0.0416 0.8633  0.00
O1 0.4145 0.4583 0.5614  0.00
O2 0.5762 0.5896 0.0742  0.07
O3 0.4522 0.4190 0.4308  0.00
O4 0.6105 0.6074 0.9504  0.09
O5 0.0334 0.6527 0.6339  0.00
O6 0.7644 0.3087 0.6128  0.00
O7 0.5594 0.8404 0.6318  0.00
O8 0.2228 0.1163 0.6324  0.00
O9 0.9042 0.7670 0.1515  0.01
O10 0.1920 0.4323 0.1344  0.01
O11 0.3862 0.9654 0.1418  0.00
O12 0.7402 0.2128 0.1165  0.00
O13 0.8265 0.2256 0.3582  0.00
O14 0.1062 0.5586 0.3707  0.00
O15 0.3071 0.0285 0.3733  0.00
O16 0.6527 0.7704 0.3768  0.00
O17 0.0909 0.2711 0.8589  0.00
O18 0.0008 0.7156 0.8769  0.01
O19 0.6901 0.2425 0.8355  0.00
O20 0.4461 0.9162 0.8695  0.00

---

5.
DFT (PBE) results for SnAuSe3 after structural relaxation.

Computed properties:
Its energy above the most stable polymorph in this dataset is 2.15 eV/f.u. As for the uncorrected formation energy: 28 kJ/mol of atoms.

Lattice parameters (Å, degrees): 5.1080 5.1080 5.1080 90.00 90.00 90.00
Atoms (fractional coordinates):
Au1 0.0000 0.0000 0.0000
Sn1 0.5000 0.5000 0.5000
Se1 0.0000 0.5000 0.0000
Se2 0.0000 0.0000 0.5000
Se3 0.5000 0.0000 0.0000

---

6.
DFT (PBE) results for Dy2ErMg5 after structural relaxation.

Computed properties:
The value obtained for the formation energy from the elements is -0.062 eV per atom.

Lattice parameters (Å, degrees): 5.2404 5.2404 8.4063 108.16 108.16 90.00
Atoms (fractional coordinates):
Dy1 0.7443 0.7443 0.4886
Dy2 0.2557 0.2557 0.5114
Er1 0.0000 0.0000 0.0000
Mg1 0.5000 0.5000 0.0000
Mg2 0.8812 0.3812 0.7624
Mg3 0.3812 0.8812 0.7624
Mg4 0.1188 0.6188 0.2376
Mg5 0.6188 0.1188 0.2376

---

7.
DFT (PBE) results for CeTcGe2 after structural relaxation.

Computed properties:
The value obtained for the formation energy from the elements is 0.965 eV per atom. Its energy above the most stable polymorph in this dataset is 5.78 eV/f.u.

Lattice parameters (Å, degrees): 4.8310 4.8310 6.9354 69.62 69.62 60.00
Each line ends with the local moment (μB).
Atoms (fractional coordinates):
Ge1 0.1261 0.1261 0.6218  -0.04
Ge2 0.8739 0.8739 0.3782  -0.04
Tc1 0.0000 0.0000 0.0000  2.56
Ce1 0.5000 0.5000 0.5000  0.36

---

8.
DFT (PBE) results for BaMgZnSb2 after structural relaxation.

Computed properties:
As for the uncorrected formation energy: -22 kJ/mol of atoms.

Lattice parameters (Å, degrees): 5.5021 5.3352 5.5021 90.00 90.00 90.00
Atoms (fractional coordinates):
Mg1 0.0000 0.0000 0.0000
Sb1 0.0000 0.0000 0.5000
Sb2 0.5000 0.0000 0.0000
Zn1 0.0000 0.5000 0.0000
Ba1 0.5000 0.5000 0.5000